VASP calculation (GGA-PBE) on a geometry-optimized Tl3Hg8 structure.

Cell lengths 7.1831, 7.1831, 7.1831 Å; angles 100.82, 100.82, 100.82 degrees
Atoms (fractional coordinates):
Tl 0.5000 0.5000 0.0000
Tl 0.5000 0.0000 0.5000
Tl 0.0000 0.5000 0.5000
Hg 0.3248 0.0488 0.8894
Hg 0.3381 0.3381 0.3381
Hg 0.6619 0.6619 0.6619
Hg 0.9512 0.1106 0.6752
Hg 0.6752 0.9512 0.1106
Hg 0.1106 0.6752 0.9512
Hg 0.8894 0.3248 0.0488
Hg 0.0488 0.8894 0.3248

Properties
Size of the total moment ... 0.00 μB per cell
Raw total energy ... -9.06 eV/cell
V ... 31.625 Å³/atom
ΔE_f ... 0.0409 eV/atom
Space-group type ... R-3, No. 148
ρ ... 10.6 g cm⁻³